Entry 1:
Material: Tb2YTh
Method: DFT, PBE
State: optimized geometry

Lattice parameters (Å, degrees): 3.5740 3.5740 10.0969 90.00 90.00 90.00
Space group P4/mmm (No. 123)
Asymmetric unit:
1 Tb 0.0000 0.0000 0.2427 (multiplicity 2)
2 Y 0.5000 0.5000 0.5000 (multiplicity 1)
3 Th 0.5000 0.5000 0.0000 (multiplicity 1)

Properties
Total moment ... 0.000 μB/atom
E above lowest polymorph ... 2.0 kJ/mol of atoms
Crystal system ... tetragonal

=====

Entry 2:
Material: TbY2Th6
Method: DFT, PBE
State: optimized geometry

Lattice parameters (Å, degrees): 11.6597 7.0307 9.2466 90.00 125.88 90.00
Space group C2/m (No. 12)
Asymmetric unit:
1 Tb 0.0000 0.0000 0.0000 (multiplicity 2)
2 Y 0.2060 0.5000 0.1185 (multiplicity 4)
3 Th 0.0760 0.2375 0.3523 (multiplicity 8)
4 Th 0.1727 0.5000 0.7022 (multiplicity 4)

Properties
Total moment ... 0.000 μB/atom
Crystal system ... monoclinic

=====

Entry 3:
Material: Tb4YTh2
Method: DFT, PBE
State: optimized geometry

Lattice parameters (Å, degrees): 6.0864 3.5746 11.1263 90.00 99.19 90.00
Space group P2/m (No. 10)
Asymmetric unit:
1 Tb 0.0822 0.0000 0.2167 (multiplicity 2)
2 Tb 0.4053 0.5000 0.7413 (multiplicity 2)
3 Y 0.5000 0.0000 0.0000 (multiplicity 1)
4 Th 0.0000 0.5000 0.5000 (multiplicity 1)
5 Th 0.5000 0.0000 0.5000 (multiplicity 1)

Properties
Total moment ... 0.000 μB/atom
E above lowest polymorph ... 16.0 kJ/mol of atoms
Crystal system ... monoclinic

=====

| no. | calculated density (Mg/m³) | E_form (eV per atom) |
| --- | --- | --- |
| 1 | 8.22 | 0.026 |
| 2 | 9.35 | 0.281 |
| 3 | 8.26 | 0.188 |